Ca5NpN5: optimized geometry, PBE-GGA.

Values from the calculation:
DOS at the Fermi energy = 0.5 states/eV/f.u.
crystal system = monoclinic
E_form (uncorrected) = -1.0417 eV per atom

```
data_Ca5NpN5
_symmetry_space_group_name_H-M 'C 1 2/m 1'
_symmetry_Int_Tables_number 12
_symmetry_space_group_name_Hall '-C 2y'
_cell_length_a 11.121
_cell_length_b 4.923
_cell_length_c 6.939
_cell_angle_alpha 90.00
_cell_angle_beta 108.77
_cell_angle_gamma 90.00
loop_
_atom_site_label
_atom_site_type_symbol
_atom_site_fract_x
_atom_site_fract_y
_atom_site_fract_z
Ca1 Ca 0.000 0.000 0.000
Ca2 Ca 0.171 0.500 0.347
Ca3 Ca 0.180 0.500 0.823
Np1 Np 0.000 0.000 0.500
N1 N 0.000 0.500 0.500
N2 N 0.141 0.000 0.349
N3 N 0.150 0.000 0.799
```



CaNp5N6: optimized geometry, PBE-GGA.

Values from the calculation:
DOS at the Fermi energy = 23.1 states/eV/f.u.
crystal system = monoclinic
E_form (uncorrected) = -1.1075 eV per atom

```
data_CaNp5N6
_symmetry_space_group_name_H-M 'C 1 2/m 1'
_symmetry_Int_Tables_number 12
_symmetry_space_group_name_Hall '-C 2y'
_cell_length_a 6.004
_cell_length_b 10.403
_cell_length_c 6.010
_cell_angle_alpha 90.00
_cell_angle_beta 109.46
_cell_angle_gamma 90.00
loop_
_atom_site_label
_atom_site_type_symbol
_atom_site_fract_x
_atom_site_fract_y
_atom_site_fract_z
Ca1 Ca 0.000 0.000 0.000
Np1 Np 0.000 0.163 0.500
Np2 Np 0.000 0.332 0.000
Np3 Np 0.000 0.500 0.500
N1 N 0.236 0.500 0.253
N2 N 0.240 0.326 0.742
```



Ca2NpN2O2: optimized geometry, PBE-GGA.

Values from the calculation:
DOS at the Fermi energy = 1.2 states/eV/f.u.
crystal system = tetragonal
E_form (uncorrected) = -1.9628 eV per atom

```
data_Ca2NpN2O2
_symmetry_space_group_name_H-M 'I 4/m m m'
_symmetry_Int_Tables_number 139
_symmetry_space_group_name_Hall '-I 4 2'
_cell_length_a 4.201
_cell_length_b 4.201
_cell_length_c 12.187
_cell_angle_alpha 90.00
_cell_angle_beta 90.00
_cell_angle_gamma 90.00
loop_
_atom_site_label
_atom_site_type_symbol
_atom_site_fract_x
_atom_site_fract_y
_atom_site_fract_z
Ca1 Ca 0.000 0.000 0.143
Np1 Np 0.000 0.000 0.500
N1 N 0.000 0.500 0.000
O1 O 0.000 0.000 0.325
```



Ca2NpOsN5: optimized geometry, PBE-GGA.

Values from the calculation:
DOS at the Fermi energy = 5.2 states/eV/f.u.
crystal system = orthorhombic
E_form (uncorrected) = -0.6347 eV per atom

```
data_Ca2NpOsN5
_symmetry_space_group_name_H-M 'C m c 21'
_symmetry_Int_Tables_number 36
_symmetry_space_group_name_Hall 'C 2c -2'
_cell_length_a 3.443
_cell_length_b 13.416
_cell_length_c 10.724
_cell_angle_alpha 90.00
_cell_angle_beta 90.00
_cell_angle_gamma 90.00
loop_
_atom_site_label
_atom_site_type_symbol
_atom_site_fract_x
_atom_site_fract_y
_atom_site_fract_z
Ca1 Ca 0.000 0.104 0.000
Ca2 Ca 0.000 0.144 0.631
Np1 Np 0.000 0.209 0.340
Os1 Os 0.000 0.482 0.773
N1 N 0.000 0.041 0.354
N2 N 0.000 0.283 0.965
N3 N 0.000 0.315 0.722
N4 N 0.000 0.369 0.316
N5 N 0.000 0.495 0.106
```



Ca3Np2PaN6: optimized geometry, PBE-GGA.

Values from the calculation:
DOS at the Fermi energy = 12.9 states/eV/f.u.
crystal system = monoclinic
E_form (uncorrected) = -1.2585 eV per atom

```
data_Ca3Np2PaN6
_symmetry_space_group_name_H-M 'C 1 2/m 1'
_symmetry_Int_Tables_number 12
_symmetry_space_group_name_Hall '-C 2y'
_cell_length_a 6.088
_cell_length_b 10.545
_cell_length_c 6.063
_cell_angle_alpha 90.00
_cell_angle_beta 109.54
_cell_angle_gamma 90.00
loop_
_atom_site_label
_atom_site_type_symbol
_atom_site_fract_x
_atom_site_fract_y
_atom_site_fract_z
Ca1 Ca 0.000 0.000 0.000
Ca2 Ca 0.000 0.332 0.000
Np1 Np 0.000 0.167 0.500
Pa1 Pa 0.000 0.500 0.500
N1 N 0.237 0.334 0.715
N2 N 0.240 0.000 0.715
```



Ca3NpPa3N8: optimized geometry, PBE-GGA.

Values from the calculation:
DOS at the Fermi energy = 16.5 states/eV/f.u.
crystal system = trigonal
E_form (uncorrected) = -1.3254 eV per atom

```
data_Ca3NpPa3N8
_symmetry_space_group_name_H-M 'R -3 m'
_symmetry_Int_Tables_number 166
_symmetry_space_group_name_Hall '-R 3 2"'
_cell_length_a 7.0840
_cell_length_b 7.0840
_cell_length_c 17.0672
_cell_angle_alpha 90.00
_cell_angle_beta 90.00
_cell_angle_gamma 120.00
loop_
_atom_site_label
_atom_site_type_symbol
_atom_site_fract_x
_atom_site_fract_y
_atom_site_fract_z
Ca1 Ca 0.0000 0.5000 0.0000
Np1 Np 0.0000 0.0000 0.5000
Pa1 Pa 0.0000 0.5000 0.5000
N1 N 0.0000 0.0000 0.2410
N2 N 0.0080 0.5040 0.2299
```



Ca3NpPa2N6: optimized geometry, PBE-GGA.

Values from the calculation:
DOS at the Fermi energy = 10.3 states/eV/f.u.
crystal system = monoclinic
E_form (uncorrected) = -1.3525 eV per atom

```
data_Ca3NpPa2N6
_symmetry_space_group_name_H-M 'C 1 2/m 1'
_symmetry_Int_Tables_number 12
_symmetry_space_group_name_Hall '-C 2y'
_cell_length_a 15.354
_cell_length_b 3.540
_cell_length_c 7.013
_cell_angle_alpha 90.00
_cell_angle_beta 102.90
_cell_angle_gamma 90.00
loop_
_atom_site_label
_atom_site_type_symbol
_atom_site_fract_x
_atom_site_fract_y
_atom_site_fract_z
Ca1 Ca 0.000 0.000 0.000
Ca2 Ca 0.166 0.500 0.333
Np1 Np 0.000 0.000 0.500
Pa1 Pa 0.165 0.500 0.828
N1 N 0.008 0.500 0.735
N2 N 0.163 0.000 0.606
N3 N 0.176 0.000 0.060
```



Ca3Np3PdN8: optimized geometry, PBE-GGA.

Values from the calculation:
DOS at the Fermi energy = 12.6 states/eV/f.u.
crystal system = monoclinic
E_form (uncorrected) = -0.8072 eV per atom

```
data_Ca3Np3PdN8
_symmetry_space_group_name_H-M 'C 1 2/m 1'
_symmetry_Int_Tables_number 12
_symmetry_space_group_name_Hall '-C 2y'
_cell_length_a 12.026
_cell_length_b 6.611
_cell_length_c 6.778
_cell_angle_alpha 90.00
_cell_angle_beta 124.11
_cell_angle_gamma 90.00
loop_
_atom_site_label
_atom_site_type_symbol
_atom_site_fract_x
_atom_site_fract_y
_atom_site_fract_z
Ca1 Ca 0.000 0.000 0.000
Ca2 Ca 0.250 0.250 0.500
Np1 Np 0.000 0.500 0.500
Np2 Np 0.250 0.250 0.000
Pd1 Pd 0.000 0.000 0.500
N1 N 0.016 0.251 0.726
N2 N 0.225 0.500 0.169
N3 N 0.243 0.500 0.760
```



Ca2Pm3NpN6: optimized geometry, PBE-GGA.

Values from the calculation:
DOS at the Fermi energy = 3.6 states/eV/f.u.
crystal system = monoclinic
E_form (uncorrected) = -1.2965 eV per atom

```
data_Ca2Pm3NpN6
_symmetry_space_group_name_H-M 'C 1 2/m 1'
_symmetry_Int_Tables_number 12
_symmetry_space_group_name_Hall '-C 2y'
_cell_length_a 6.139
_cell_length_b 10.613
_cell_length_c 6.117
_cell_angle_alpha 90.00
_cell_angle_beta 109.50
_cell_angle_gamma 90.00
loop_
_atom_site_label
_atom_site_type_symbol
_atom_site_fract_x
_atom_site_fract_y
_atom_site_fract_z
Ca1 Ca 0.000 0.166 0.000
Pm1 Pm 0.000 0.000 0.500
Pm2 Pm 0.000 0.333 0.500
Np1 Np 0.000 0.500 0.000
N1 N 0.217 0.500 0.763
N2 N 0.226 0.352 0.236
```



Ca3PmNp2N6: optimized geometry, PBE-GGA.

Values from the calculation:
DOS at the Fermi energy = 10.9 states/eV/f.u.
crystal system = monoclinic
E_form (uncorrected) = -1.2053 eV per atom

```
data_Ca3PmNp2N6
_symmetry_space_group_name_H-M 'C 1 2/m 1'
_symmetry_Int_Tables_number 12
_symmetry_space_group_name_Hall '-C 2y'
_cell_length_a 15.217
_cell_length_b 3.525
_cell_length_c 7.038
_cell_angle_alpha 90.00
_cell_angle_beta 103.22
_cell_angle_gamma 90.00
loop_
_atom_site_label
_atom_site_type_symbol
_atom_site_fract_x
_atom_site_fract_y
_atom_site_fract_z
Ca1 Ca 0.000 0.000 0.000
Ca2 Ca 0.168 0.500 0.333
Pm1 Pm 0.000 0.000 0.500
Np1 Np 0.167 0.500 0.832
N1 N 0.018 0.500 0.758
N2 N 0.167 0.000 0.614
N3 N 0.178 0.000 0.066
```



CaPm2NpN4: optimized geometry, PBE-GGA.

Values from the calculation:
DOS at the Fermi energy = 4.8 states/eV/f.u.
crystal system = monoclinic
E_form (uncorrected) = -1.2760 eV per atom

```
data_CaPm2NpN4
_symmetry_space_group_name_H-M 'P 1 2/m 1'
_symmetry_Int_Tables_number 10
_symmetry_space_group_name_Hall '-P 2y'
_cell_length_a 6.070
_cell_length_b 3.555
_cell_length_c 6.093
_cell_angle_alpha 90.00
_cell_angle_beta 108.48
_cell_angle_gamma 90.00
loop_
_atom_site_label
_atom_site_type_symbol
_atom_site_fract_x
_atom_site_fract_y
_atom_site_fract_z
Ca1 Ca 0.000 0.000 0.000
Pm1 Pm 0.000 0.500 0.500
Pm2 Pm 0.500 0.000 0.500
Np1 Np 0.500 0.500 0.000
N1 N 0.265 0.000 0.764
N2 N 0.281 0.500 0.228
```



Ca2PrNpN4: optimized geometry, PBE-GGA.

Values from the calculation:
DOS at the Fermi energy = 4.3 states/eV/f.u.
crystal system = monoclinic
E_form (uncorrected) = -1.1700 eV per atom

```
data_Ca2PrNpN4
_symmetry_space_group_name_H-M 'P 1 2/m 1'
_symmetry_Int_Tables_number 10
_symmetry_space_group_name_Hall '-P 2y'
_cell_length_a 6.081
_cell_length_b 3.566
_cell_length_c 6.174
_cell_angle_alpha 90.00
_cell_angle_beta 109.64
_cell_angle_gamma 90.00
loop_
_atom_site_label
_atom_site_type_symbol
_atom_site_fract_x
_atom_site_fract_y
_atom_site_fract_z
Ca1 Ca 0.000 0.000 0.000
Ca2 Ca 0.000 0.500 0.500
Pr1 Pr 0.500 0.000 0.500
Np1 Np 0.500 0.500 0.000
N1 N 0.274 0.000 0.773
N2 N 0.287 0.500 0.217
```



Q: Look up the E_form (uncorrected) of the twelfth one.
A: -1.1700 eV per atom



Copy entry 8 word for word.
Ca3Np3PdN8: optimized geometry, PBE-GGA.

Values from the calculation:
DOS at the Fermi energy = 12.6 states/eV/f.u.
crystal system = monoclinic
E_form (uncorrected) = -0.8072 eV per atom

```
data_Ca3Np3PdN8
_symmetry_space_group_name_H-M 'C 1 2/m 1'
_symmetry_Int_Tables_number 12
_symmetry_space_group_name_Hall '-C 2y'
_cell_length_a 12.026
_cell_length_b 6.611
_cell_length_c 6.778
_cell_angle_alpha 90.00
_cell_angle_beta 124.11
_cell_angle_gamma 90.00
loop_
_atom_site_label
_atom_site_type_symbol
_atom_site_fract_x
_atom_site_fract_y
_atom_site_fract_z
Ca1 Ca 0.000 0.000 0.000
Ca2 Ca 0.250 0.250 0.500
Np1 Np 0.000 0.500 0.500
Np2 Np 0.250 0.250 0.000
Pd1 Pd 0.000 0.000 0.500
N1 N 0.016 0.251 0.726
N2 N 0.225 0.500 0.169
N3 N 0.243 0.500 0.760
```



Q: Which formula does entry 11 have?
A: CaPm2NpN4



Q: Which of these has the lowest DOS at the Fermi energy?
A: Ca5NpN5